Here is a geometry-optimized PrYCuOs structure from Alexandria via LeMat-Bulk. Energies are from GGA-PBE.

```
data_PrYCuOs
_cell_length_a 4.962
_cell_length_b 4.962
_cell_length_c 4.962
_cell_angle_alpha 60.00
_cell_angle_beta 60.00
_cell_angle_gamma 60.00
_symmetry_space_group_name_H-M 'P 1'
_symmetry_Int_Tables_number 1
_symmetry_space_group_name_Hall 'P 1'
loop_
_atom_site_label
_atom_site_fract_x
_atom_site_fract_y
_atom_site_fract_z
_atom_site_occupancy
Y1 0.750 0.750 0.750 1
Cu1 0.000 0.000 0.000 1
Os1 0.500 0.500 0.500 1
Pr1 0.250 0.250 0.250 1
```

## Properties
- calculated volume (Å³/atom) = 21.6
- formation energy from the elements (meV/atom) = -114
- total magnetization (μB per cell) = 0.0